A geometry-optimized ScPPd2 structure. Source: Alexandria via LeMat-Bulk, functional PBE-GGA.

Summary:
crystal system	tetragonal

abc: 3.9208 3.9208 17.7255
angles: 90.00 90.00 90.00
Closest atoms and distances in Å follow each position.
Space group I-42d (No. 122)
Symmetry-distinct sites (fractional):
Sc (0.0000, 0.0000, 0.0000) [4 per cell]  4 Pd 2.64, 4 P 2.77
P (0.0000, 0.0000, 0.5000) [4 per cell]  4 Pd 2.59, 4 Sc 2.77
Pd (0.2312, 0.2500, 0.6250) [8 per cell]  2 P 2.59, 2 Sc 2.64, 4 Pd 2.67-2.88

A geometry-optimized ScP3Pd structure. Source: Alexandria via LeMat-Bulk, functional PBE-GGA.

Summary:
crystal system	cubic

abc: 4.8463 4.8463 4.8463
angles: 90.00 90.00 90.00
Closest atoms and distances in Å follow each position.
Space group Pm-3m (No. 221)
Symmetry-distinct sites (fractional):
Sc (0.0000, 0.0000, 0.0000) [1 per cell]  6 P 2.42
P (0.0000, 0.0000, 0.5000) [3 per cell]  2 Sc 2.42
Pd (0.5000, 0.5000, 0.5000) [1 per cell]  12 P 3.43

A geometry-optimized ScP2Pd2 structure. Source: Alexandria via LeMat-Bulk, functional PBE-GGA.

Summary:
crystal system	tetragonal

abc: 7.1041 7.1041 3.1653
angles: 90.00 90.00 90.00
Closest atoms and distances in Å follow each position.
Space group P4/mbm (No. 127)
Symmetry-distinct sites (fractional):
Sc (0.0000, 0.0000, 0.0000) [2 per cell]  4 P 2.67
P (0.1603, 0.3397, 0.0000) [4 per cell]  6 Pd 2.49-2.71, 2 Sc 2.67
Pd (0.1490, 0.6490, 0.5000) [4 per cell]  6 P 2.49-2.71

A geometry-optimized Sc2PPd structure. Source: Alexandria via LeMat-Bulk, functional PBE-GGA.

Summary:
crystal system	trigonal

abc: 3.4874 3.4874 24.2292
angles: 90.00 90.00 120.00
Closest atoms and distances in Å follow each position.
Space group R-3m (No. 166, hexagonal axes)
Symmetry-distinct sites (fractional):
Sc (0.0000, 0.0000, 0.1032) [6 per cell]  1 Pd 2.50, 3 P 2.53
P (0.0000, 0.0000, 0.5000) [3 per cell]  6 Sc 2.53
Pd (0.0000, 0.0000, 0.0000) [3 per cell]  2 Sc 2.50

A geometry-optimized ScPPd3 structure. Source: Alexandria via LeMat-Bulk, functional PBE-GGA.

Summary:
crystal system	cubic

abc: 4.5114 4.5114 4.5114
angles: 90.00 90.00 90.00
Closest atoms and distances in Å follow each position.
Space group Pm-3m (No. 221)
Symmetry-distinct sites (fractional):
Sc (0.0000, 0.0000, 0.0000) [1 per cell]  12 Pd 3.19
P (0.5000, 0.5000, 0.5000) [1 per cell]  6 Pd 2.26
Pd (0.0000, 0.5000, 0.5000) [3 per cell]  2 P 2.26

A geometry-optimized ScP4Pd2 structure. Source: Alexandria via LeMat-Bulk, functional PBE-GGA.

Summary:
crystal system	tetragonal

abc: 4.8634 4.8634 12.1746
angles: 90.00 90.00 90.00
Closest atoms and distances in Å follow each position.
Space group I4/mmm (No. 139)
Symmetry-distinct sites (fractional):
Sc (0.0000, 0.0000, 0.0000) [2 per cell]  6 P 2.43-2.57
P (0.0000, 0.0000, 0.2108) [4 per cell]  1 Pd 2.21
P (0.0000, 0.5000, 0.0000) [4 per cell]  2 Sc 2.43
Pd (0.0000, 0.0000, 0.3923) [4 per cell]  1 P 2.21

We obtain energy of formation from the pure elements values of -2.622; 3.341; -2.639; -2.317; -2.519; 1.783 eV per formula unit for the records listed above, in that order.